Entry 1:
A PBEsol-optimized structure of MgPt2W. Source: Alexandria via LeMat-Bulk, functional meta-GGA SCAN.

Summary:
The energy of formation from the pure elements comes out at -0.202 eV per atom. As for the space group: P4mm, No. 99.

Geometry as CIF:
```
data_MgPt2W
_cell_length_a 2.7664
_cell_length_b 2.7664
_cell_length_c 8.1401
_cell_angle_alpha 90.00
_cell_angle_beta 90.00
_cell_angle_gamma 90.00
_space_group_name_H-M_alt 'P 1'
_space_group_IT_number 1
loop_
_space_group_symop_operation_xyz
'x,y,z'
loop_
_atom_site_label
_atom_site_type_symbol
_atom_site_fract_x
_atom_site_fract_y
_atom_site_fract_z
_atom_site_occupancy
Pt1 Pt 0.0000 0.0000 0.9975 1
Pt2 Pt 0.5000 0.5000 0.2522 1
Mg1 Mg 0.5000 0.5000 0.7652 1
W1 W 0.0000 0.0000 0.4851 1
```



Entry 2:
A PBEsol-optimized structure of SrTeIr2. Source: Alexandria via LeMat-Bulk, functional meta-GGA SCAN.

Summary:
As for the raw formation energy: -1.1 eV per formula unit. As for the space group: Pm, No. 6.

Geometry as CIF:
```
data_SrTeIr2
_cell_length_a 4.1575
_cell_length_b 4.9254
_cell_length_c 5.0439
_cell_angle_alpha 105.68
_cell_angle_beta 90.00
_cell_angle_gamma 90.00
_space_group_name_H-M_alt 'P 1'
_space_group_IT_number 1
loop_
_space_group_symop_operation_xyz
'x,y,z'
loop_
_atom_site_label
_atom_site_type_symbol
_atom_site_fract_x
_atom_site_fract_y
_atom_site_fract_z
_atom_site_occupancy
Ir1 Ir 0.5000 0.9271 0.2691 1
Ir2 Ir 0.0000 0.9361 0.0160 1
Sr1 Sr 0.0000 0.5049 0.4279 1
Te1 Te 0.5000 0.1319 0.7870 1
```



Entry 3:
A PBEsol-optimized structure of As2OsSe. Source: Alexandria via LeMat-Bulk, functional meta-GGA SCAN.

Summary:
As for the raw formation energy: 1.8 eV per formula unit. As for the space group: Cmmm, No. 65. The energy above the most stable polymorph in this dataset is 48 meV/atom.

Geometry as CIF:
```
data_As2OsSe
_cell_length_a 2.8356
_cell_length_b 2.8356
_cell_length_c 10.1486
_cell_angle_alpha 90.00
_cell_angle_beta 90.00
_cell_angle_gamma 118.68
_space_group_name_H-M_alt 'P 1'
_space_group_IT_number 1
loop_
_space_group_symop_operation_xyz
'x,y,z'
loop_
_atom_site_label
_atom_site_type_symbol
_atom_site_fract_x
_atom_site_fract_y
_atom_site_fract_z
_atom_site_occupancy
Os1 Os 0.5000 0.5000 0.5000 1
Se1 Se 0.5000 0.5000 0.0000 1
As1 As 0.0000 0.0000 0.2931 1
As2 As 0.0000 0.0000 0.7069 1
```



Entry 4:
A PBEsol-optimized structure of BeNi2Se. Source: Alexandria via LeMat-Bulk, functional meta-GGA SCAN.

Summary:
As for the raw formation energy: 0.2 eV per formula unit. As for the space group: I4/mmm, No. 139.

Geometry as CIF:
```
data_BeNi2Se
_cell_length_a 3.6929
_cell_length_b 4.1727
_cell_length_c 3.6929
_cell_angle_alpha 116.26
_cell_angle_beta 90.00
_cell_angle_gamma 116.26
_space_group_name_H-M_alt 'P 1'
_space_group_IT_number 1
loop_
_space_group_symop_operation_xyz
'x,y,z'
loop_
_atom_site_label
_atom_site_type_symbol
_atom_site_fract_x
_atom_site_fract_y
_atom_site_fract_z
_atom_site_occupancy
Be1 Be 0.0000 0.0000 0.0000 1
Se1 Se 0.5000 0.0000 0.5000 1
Ni1 Ni 0.7500 0.5000 0.2500 1
Ni2 Ni 0.2500 0.5000 0.7500 1
```



Entry 5:
A PBEsol-optimized structure of Dy2GaAg. Source: Alexandria via LeMat-Bulk, functional meta-GGA SCAN.

Summary:
The energy of formation from the pure elements comes out at -0.541 eV per atom. As for the space group: Fm-3m, No. 225.

Geometry as CIF:
```
data_Dy2GaAg
_cell_length_a 5.0216
_cell_length_b 5.0216
_cell_length_c 5.0216
_cell_angle_alpha 60.00
_cell_angle_beta 60.00
_cell_angle_gamma 60.00
_space_group_name_H-M_alt 'P 1'
_space_group_IT_number 1
loop_
_space_group_symop_operation_xyz
'x,y,z'
loop_
_atom_site_label
_atom_site_type_symbol
_atom_site_fract_x
_atom_site_fract_y
_atom_site_fract_z
_atom_site_occupancy
Dy1 Dy 0.2500 0.2500 0.2500 1
Dy2 Dy 0.7500 0.7500 0.7500 1
Ag1 Ag 0.5000 0.5000 0.5000 1
Ga1 Ga 0.0000 0.0000 0.0000 1
```



Entry 6:
A PBEsol-optimized structure of BePPb2. Source: Alexandria via LeMat-Bulk, functional meta-GGA SCAN.

Summary:
The energy of formation from the pure elements comes out at -0.105 eV per atom. As for the space group: Cm, No. 8. The energy above the most stable polymorph in this dataset is 0 meV/atom.

Geometry as CIF:
```
data_BePPb2
_cell_length_a 3.5723
_cell_length_b 3.5712
_cell_length_c 8.8558
_cell_angle_alpha 102.70
_cell_angle_beta 90.00
_cell_angle_gamma 120.01
_space_group_name_H-M_alt 'P 1'
_space_group_IT_number 1
loop_
_space_group_symop_operation_xyz
'x,y,z'
loop_
_atom_site_label
_atom_site_type_symbol
_atom_site_fract_x
_atom_site_fract_y
_atom_site_fract_z
_atom_site_occupancy
Be1 Be 0.3765 0.7531 0.6251 1
Pb1 Pb 0.1505 0.3010 0.9479 1
Pb2 Pb 0.9299 0.8598 0.3022 1
P1 P 0.0431 0.0861 0.6248 1
```



Entry 7:
A PBEsol-optimized structure of ScIn2Mo. Source: Alexandria via LeMat-Bulk, functional meta-GGA SCAN.

Summary:
The energy of formation from the pure elements comes out at -0.007 eV per atom. As for the space group: Pm, No. 6. The energy above the most stable polymorph in this dataset is 157 meV/atom.

Geometry as CIF:
```
data_ScIn2Mo
_cell_length_a 3.0152
_cell_length_b 4.8712
_cell_length_c 5.2261
_cell_angle_alpha 90.00
_cell_angle_beta 92.65
_cell_angle_gamma 90.00
_space_group_name_H-M_alt 'P 1'
_space_group_IT_number 1
loop_
_space_group_symop_operation_xyz
'x,y,z'
loop_
_atom_site_label
_atom_site_type_symbol
_atom_site_fract_x
_atom_site_fract_y
_atom_site_fract_z
_atom_site_occupancy
Sc1 Sc 0.3285 0.5000 0.7691 1
Mo1 Mo 0.4336 0.0000 0.4786 1
In1 In 0.8819 0.0000 0.9671 1
In2 In 0.8560 0.5000 0.2852 1
```



Entry 8:
A PBEsol-optimized structure of Al2TlSe. Source: Alexandria via LeMat-Bulk, functional meta-GGA SCAN.

Summary:
As for the raw formation energy: 0.3 eV per formula unit. As for the space group: Imm2, No. 44. The energy above the most stable polymorph in this dataset is 163 meV/atom.

Geometry as CIF:
```
data_Al2TlSe
_cell_length_a 3.4123
_cell_length_b 5.1607
_cell_length_c 5.7728
_cell_angle_alpha 116.55
_cell_angle_beta 107.19
_cell_angle_gamma 90.00
_space_group_name_H-M_alt 'P 1'
_space_group_IT_number 1
loop_
_space_group_symop_operation_xyz
'x,y,z'
loop_
_atom_site_label
_atom_site_type_symbol
_atom_site_fract_x
_atom_site_fract_y
_atom_site_fract_z
_atom_site_occupancy
Al1 Al 0.7671 0.2671 0.5343 1
Al2 Al 0.0303 0.0303 0.0606 1
Se1 Se 0.4574 0.4574 0.9147 1
Tl1 Tl 0.2452 0.7452 0.4904 1
```



Entry 9:
A PBEsol-optimized structure of CrCdAu2. Source: Alexandria via LeMat-Bulk, functional meta-GGA SCAN.

Summary:
The energy of formation from the pure elements comes out at 0.072 eV per atom. As for the space group: R3m, No. 160.

Geometry as CIF:
```
data_CrCdAu2
_cell_length_a 2.9440
_cell_length_b 2.9440
_cell_length_c 9.2579
_cell_angle_alpha 80.85
_cell_angle_beta 80.85
_cell_angle_gamma 60.00
_space_group_name_H-M_alt 'P 1'
_space_group_IT_number 1
loop_
_space_group_symop_operation_xyz
'x,y,z'
loop_
_atom_site_label
_atom_site_type_symbol
_atom_site_fract_x
_atom_site_fract_y
_atom_site_fract_z
_atom_site_occupancy
Au1 Au 0.9961 0.9961 0.0116 1
Au2 Au 0.7492 0.7492 0.7524 1
Cr1 Cr 0.2524 0.2524 0.2428 1
Cd1 Cd 0.5023 0.5023 0.4932 1
```



Entry 10:
A PBEsol-optimized structure of CrReHg2P. Source: Alexandria via LeMat-Bulk, functional meta-GGA SCAN.

Summary:
The energy of formation from the pure elements comes out at 1.553 eV per atom. As for the space group: P4/mmm, No. 123.

Geometry as CIF:
```
data_CrReHg2P
_cell_length_a 4.3740
_cell_length_b 4.9720
_cell_length_c 4.9720
_cell_angle_alpha 90.00
_cell_angle_beta 90.00
_cell_angle_gamma 90.00
_space_group_name_H-M_alt 'P 1'
_space_group_IT_number 1
loop_
_space_group_symop_operation_xyz
'x,y,z'
loop_
_atom_site_label
_atom_site_type_symbol
_atom_site_fract_x
_atom_site_fract_y
_atom_site_fract_z
_atom_site_occupancy
Re1 Re 0.5000 0.0000 0.0000 1
Hg1 Hg 0.0000 0.0000 0.5000 1
Hg2 Hg 0.0000 0.5000 0.0000 1
Cr1 Cr 0.0000 0.0000 0.0000 1
P1 P 0.5000 0.5000 0.5000 1
```



Entry 11:
A PBEsol-optimized structure of RbMo2P3O12. Source: Alexandria via LeMat-Bulk, functional meta-GGA SCAN.

Summary:
As for the raw formation energy: -42.6 eV per formula unit. As for the space group: Pbcm, No. 57.

Geometry as CIF:
```
data_RbMo2P3O12
_cell_length_a 8.8597
_cell_length_b 9.2817
_cell_length_c 12.3010
_cell_angle_alpha 90.00
_cell_angle_beta 90.00
_cell_angle_gamma 90.00
_space_group_name_H-M_alt 'P 1'
_space_group_IT_number 1
loop_
_space_group_symop_operation_xyz
'x,y,z'
loop_
_atom_site_label
_atom_site_type_symbol
_atom_site_fract_x
_atom_site_fract_y
_atom_site_fract_z
_atom_site_occupancy
O1 O 0.4263 0.6066 0.8858 1
O2 O 0.1236 0.8510 0.0687 1
O3 O 0.2983 0.0495 0.9390 1
O4 O 0.6121 0.6980 0.3785 1
O5 O 0.9301 0.6634 0.4177 1
O6 O 0.7017 0.5495 0.5610 1
O7 O 0.8764 0.1490 0.5687 1
O8 O 0.3879 0.1980 0.1215 1
O9 O 0.6121 0.6980 0.1215 1
O10 O 0.7836 0.5177 0.2500 1
O11 O 0.6413 0.5903 0.7500 1
O12 O 0.3879 0.1980 0.3785 1
O13 O 0.2983 0.4505 0.4390 1
O14 O 0.3587 0.4097 0.2500 1
O15 O 0.4263 0.8934 0.1142 1
O16 O 0.5737 0.1066 0.6142 1
O17 O 0.2983 0.0495 0.5610 1
O18 O 0.9301 0.8366 0.9177 1
O19 O 0.8764 0.1490 0.9313 1
O20 O 0.8764 0.3510 0.0687 1
O21 O 0.5737 0.3934 0.3858 1
O22 O 0.9301 0.8366 0.5823 1
O23 O 0.5737 0.1066 0.8858 1
O24 O 0.0699 0.1634 0.4177 1
O25 O 0.3587 0.0903 0.7500 1
O26 O 0.0699 0.3366 0.5823 1
O27 O 0.7836 0.9823 0.7500 1
O28 O 0.2164 0.4823 0.7500 1
O29 O 0.3879 0.3020 0.6215 1
O30 O 0.1236 0.6490 0.9313 1
O31 O 0.7017 0.5495 0.9390 1
O32 O 0.6413 0.9097 0.2500 1
O33 O 0.4263 0.8934 0.3858 1
O34 O 0.1236 0.8510 0.4313 1
O35 O 0.3879 0.3020 0.8785 1
O36 O 0.9301 0.6634 0.0823 1
O37 O 0.2164 0.0177 0.2500 1
O38 O 0.6121 0.8020 0.8785 1
O39 O 0.1236 0.6490 0.5687 1
O40 O 0.8764 0.3510 0.4313 1
O41 O 0.0699 0.3366 0.9177 1
O42 O 0.2983 0.4505 0.0610 1
O43 O 0.7017 0.9505 0.0610 1
O44 O 0.6121 0.8020 0.6215 1
O45 O 0.7017 0.9505 0.4390 1
O46 O 0.5737 0.3934 0.1142 1
O47 O 0.4263 0.6066 0.6142 1
O48 O 0.0699 0.1634 0.0823 1
Mo1 Mo 0.2471 0.4712 0.8983 1
Mo2 Mo 0.7529 0.5288 0.1017 1
Mo3 Mo 0.7529 0.9712 0.6017 1
Mo4 Mo 0.7529 0.5288 0.3983 1
Mo5 Mo 0.2471 0.0288 0.3983 1
Mo6 Mo 0.2471 0.0288 0.1017 1
Mo7 Mo 0.2471 0.4712 0.6017 1
Mo8 Mo 0.7529 0.9712 0.8983 1
P1 P 0.4077 0.1398 0.6290 1
P2 P 0.9757 0.2500 0.5000 1
P3 P 0.5923 0.8602 0.1290 1
P4 P 0.5923 0.8602 0.3710 1
P5 P 0.5923 0.6398 0.6290 1
P6 P 0.0243 0.7500 0.5000 1
P7 P 0.4077 0.3602 0.3710 1
P8 P 0.0243 0.7500 0.0000 1
P9 P 0.5923 0.6398 0.8710 1
P10 P 0.4077 0.1398 0.8710 1
P11 P 0.4077 0.3602 0.1290 1
P12 P 0.9757 0.2500 0.0000 1
Rb1 Rb 0.8155 0.3343 0.7500 1
Rb2 Rb 0.8155 0.1657 0.2500 1
Rb3 Rb 0.1845 0.6657 0.2500 1
Rb4 Rb 0.1845 0.8343 0.7500 1
```



Entry 12:
A PBEsol-optimized structure of CoRu2. Source: Alexandria via LeMat-Bulk, functional meta-GGA SCAN.

Summary:
The energy of formation from the pure elements comes out at 0.147 eV per atom. As for the space group: Cmcm, No. 63.

Geometry as CIF:
```
data_CoRu2
_cell_length_a 2.6417
_cell_length_b 4.1666
_cell_length_c 6.8502
_cell_angle_alpha 90.00
_cell_angle_beta 101.12
_cell_angle_gamma 90.00
_space_group_name_H-M_alt 'P 1'
_space_group_IT_number 1
loop_
_space_group_symop_operation_xyz
'x,y,z'
loop_
_atom_site_label
_atom_site_type_symbol
_atom_site_fract_x
_atom_site_fract_y
_atom_site_fract_z
_atom_site_occupancy
Ru1 Ru 0.5577 0.2500 0.1154 1
Ru2 Ru 0.8837 0.2500 0.7674 1
Ru3 Ru 0.1163 0.7500 0.2326 1
Ru4 Ru 0.4423 0.7500 0.8846 1
Co1 Co 0.7754 0.7500 0.5508 1
Co2 Co 0.2246 0.2500 0.4492 1
```